# GGA+U FeS3F, relaxed
data_FeS3F
_space_group_name_H-M_alt 'P 1'
_space_group_IT_number 1
_cell_length_a 4.3679
_cell_length_b 4.3679
_cell_length_c 4.3679
_cell_angle_alpha 90.00
_cell_angle_beta 90.00
_cell_angle_gamma 90.00
loop_
_space_group_symop_operation_xyz
'x,y,z'
loop_
_atom_site_label
_atom_site_type_symbol
_atom_site_fract_x
_atom_site_fract_y
_atom_site_fract_z
Fe1 Fe 0.0000 0.0000 0.0000
S1 S 0.0000 0.5000 0.5000
S2 S 0.5000 0.0000 0.5000
S3 S 0.5000 0.5000 0.0000
F1 F 0.5000 0.5000 0.5000
# VASP energy in eV per atom: -3.066
# ΔE to the lowest computed polymorph in meV/atom: 0